(1)
# CaHfVRu2, relaxed, DFT GGA-PBE
data_CaHfVRu2
_chemical_formula_sum 'Ca1 Hf1 V1 Ru2'
_cell_length_a 4.846
_cell_length_b 4.721
_cell_length_c 4.846
_cell_angle_alpha 90.00
_cell_angle_beta 90.00
_cell_angle_gamma 90.00
_space_group_name_H-M_alt 'P 1'
_space_group_IT_number 1
_space_group_name_Hall 'P 1'
loop_
_atom_site_label
_atom_site_fract_x
_atom_site_fract_y
_atom_site_fract_z
_atom_site_occupancy
V1 0.000 0.500 0.000 1
Ru1 0.000 0.000 0.500 1
Ru2 0.500 0.000 0.000 1
Hf1 0.000 0.000 0.000 1
Ca1 0.500 0.500 0.500 1
# * ΔE_f: 5.14 eV per formula unit
# * DOS at the Fermi energy: 9.24 states/eV/cell
# * calculated total energy: -34.49 eV/cell
# * total magnetic moment: 0.0 μB/cell



(2)
# ScWBr2, relaxed, DFT GGA-PBE
data_ScWBr2
_chemical_formula_sum 'Sc1 W1 Br2'
_cell_length_a 3.250
_cell_length_b 3.853
_cell_length_c 8.213
_cell_angle_alpha 76.78
_cell_angle_beta 90.00
_cell_angle_gamma 90.00
_space_group_name_H-M_alt 'P 1'
_space_group_IT_number 1
_space_group_name_Hall 'P 1'
loop_
_atom_site_label
_atom_site_fract_x
_atom_site_fract_y
_atom_site_fract_z
_atom_site_occupancy
Br1 0.500 0.134 0.349 1
W1 0.500 0.968 0.692 1
Br2 0.000 0.846 0.941 1
Sc1 0.000 0.552 0.518 1
# * DOS at the Fermi energy: 3.68 states/eV/cell
# * calculated total energy: -23.26 eV/cell
# * total magnetic moment: 0.0 μB/cell
# * energy above the lowest structure with this stoichiometry: 0.173 eV/atom
# * formation energy from raw total energies: -0.1577 eV/atom



(3)
# ScCdMo2, relaxed, DFT GGA-PBE
data_ScCdMo2
_chemical_formula_sum 'Sc1 Cd1 Mo2'
_cell_length_a 5.483
_cell_length_b 5.483
_cell_length_c 5.483
_cell_angle_alpha 142.45
_cell_angle_beta 133.28
_cell_angle_gamma 61.42
_space_group_name_H-M_alt 'P 1'
_space_group_IT_number 1
_space_group_name_Hall 'P 1'
loop_
_atom_site_label
_atom_site_fract_x
_atom_site_fract_y
_atom_site_fract_z
_atom_site_occupancy
Mo1 0.502 0.502 0.000 1
Mo2 0.998 0.998 0.000 1
Sc1 0.750 0.250 0.500 1
Cd1 0.250 0.750 0.500 1
# * ΔE_f: 1.09 eV per formula unit
# * DOS at the Fermi energy: 3.29 states/eV/cell
# * calculated total energy: -27.82 eV/cell
# * total magnetic moment: 0.0 μB/cell